[1]
Na2LiBe3Au12: optimized geometry, GGA-PBE.

Computed properties:
**Final energy**: -3.1324 eV/atom
**Spin magnetization**: 0.00 μB per cell
**Symmetry**: R-3m, No. 166
**ΔH_f (0 K)**: -0.074 eV/atom
**Mass density**: 11.50 Mg/m³

Cell lengths 7.5438, 7.5438, 7.5438 Å; angles 67.61, 67.61, 67.61 degrees
With the nearest neighbours (Å) after each atom.
Element x y z (fractional)
Au: 0.8649 0.3791 0.8649  1 Be 2.26
Au: 0.3791 0.8649 0.8649  1 Be 2.26
Au: 0.1003 0.6551 0.6551  2 Be 2.36
Au: 0.6551 0.6551 0.1003  2 Be 2.36
Au: 0.6209 0.1351 0.1351  1 Be 2.26
Au: 0.8649 0.8649 0.3791  1 Be 2.26
Au: 0.3449 0.3449 0.8997  2 Be 2.36
Au: 0.1351 0.6209 0.1351  1 Be 2.26
Au: 0.6551 0.1003 0.6551  2 Be 2.36
Au: 0.3449 0.8997 0.3449  2 Be 2.36
Au: 0.1351 0.1351 0.6209  1 Be 2.26
Au: 0.8997 0.3449 0.3449  2 Be 2.36
Be: 0.0000 0.0000 0.5000  6 Au 2.26-2.36
Be: 0.5000 0.0000 0.0000  6 Au 2.26-2.36
Be: 0.0000 0.5000 0.0000  6 Au 2.26-2.36
Na: 0.4015 0.4015 0.4015  6 Au 2.94-2.97
Na: 0.5985 0.5985 0.5985  6 Au 2.94-2.97
Li: 0.0000 0.0000 0.0000  6 Au 2.57

=====

[2]
Li2NdBeAu4: optimized geometry, GGA-PBE.

Computed properties:
**Final energy**: -3.6835 eV/atom
**Spin magnetization**: 0.00 μB per cell
**Symmetry**: R-3m, No. 166
**ΔH_f (0 K)**: -0.505 eV/atom
**Mass density**: 11.14 Mg/m³

Cell lengths 4.4146, 4.4146, 8.8112 Å; angles 75.49, 75.49, 60.00 degrees
With the nearest neighbours (Å) after each atom.
Element x y z (fractional)
Li: 0.7616 0.7616 0.7151  7 Au 2.61-2.74
Li: 0.2384 0.2384 0.2849  7 Au 2.61-2.74
Nd: 0.0000 0.0000 0.0000  8 Au 3.12-3.42
Au: 0.4043 0.4043 0.7870  1 Be 2.42, 3 Li 2.62
Au: 0.1351 0.1351 0.5948  4 Li 2.61-2.74, 3 Be 2.67
Au: 0.5957 0.5957 0.2130  1 Be 2.42, 3 Li 2.62
Au: 0.8649 0.8649 0.4052  4 Li 2.61-2.74, 3 Be 2.67
Be: 0.5000 0.5000 0.5000  8 Au 2.42-2.67

=====

[3]
Li3Be2Pd3Au: optimized geometry, GGA-PBE.

Computed properties:
**Final energy**: -3.9276 eV/atom
**Spin magnetization**: 0.00 μB per cell
**Symmetry**: P-62m, No. 189
**ΔH_f (0 K)**: -0.366 eV/atom
**Mass density**: 7.84 Mg/m³

Cell lengths 2.7716, 6.9967, 6.9967 Å; angles 120.00, 90.00, 90.00 degrees
With the nearest neighbours (Å) after each atom.
Element x y z (fractional)
Li: 0.5000 0.0000 0.7058  2 Be 2.48, 2 Au 2.48, 2 Pd 2.52, 2 Li 2.77
Li: 0.5000 0.7058 0.0000  2 Be 2.48, 2 Au 2.48, 2 Pd 2.52, 2 Li 2.77
Li: 0.5000 0.2942 0.2942  2 Be 2.48, 2 Au 2.48, 2 Pd 2.52, 2 Li 2.77
Be: 0.5000 0.6667 0.3333  3 Li 2.48, 6 Pd 2.54, 2 Be 2.77
Be: 0.5000 0.3333 0.6667  3 Li 2.48, 6 Pd 2.54, 2 Be 2.77
Pd: 0.0000 0.0000 0.4054  2 Li 2.52, 4 Be 2.54, 2 Pd 2.77
Pd: 0.0000 0.5946 0.5946  2 Li 2.52, 4 Be 2.54, 2 Pd 2.77
Pd: 0.0000 0.4054 0.0000  2 Li 2.52, 4 Be 2.54, 2 Pd 2.77
Au: 0.0000 0.0000 0.0000  6 Li 2.48, 2 Au 2.77

=====

[4]
Li2Be2Pd5Au: optimized geometry, GGA-PBE.

Computed properties:
**Final energy**: -4.4611 eV/atom
**Spin magnetization**: 0.00 μB per cell
**Symmetry**: P4/mbm, No. 127
**ΔH_f (0 K)**: -0.409 eV/atom
**Mass density**: 8.54 Mg/m³

Cell lengths 3.0283, 9.8864, 9.8864 Å; angles 90.00, 90.00, 90.00 degrees
With the nearest neighbours (Å) after each atom.
Element x y z (fractional)
Pd: 0.5000 0.7202 0.4306  2 Be 2.23
Pd: 0.5000 0.0694 0.7798  2 Be 2.23
Pd: 0.5000 0.0000 0.5000  4 Be 2.30
Pd: 0.5000 0.2798 0.5694  2 Be 2.23
Pd: 0.5000 0.4306 0.2798  2 Be 2.23
Pd: 0.5000 0.9306 0.2202  2 Be 2.23
Pd: 0.5000 0.2202 0.0694  2 Be 2.23
Pd: 0.5000 0.5694 0.7202  2 Be 2.23
Pd: 0.5000 0.7798 0.9306  2 Be 2.23
Pd: 0.5000 0.5000 0.0000  4 Be 2.30
Li: 0.0000 0.1764 0.3236  3 Be 2.79-3.02, 10 Pd 2.89-3.04, 2 Li 3.03
Li: 0.0000 0.6764 0.1764  3 Be 2.79-3.02, 10 Pd 2.89-3.04, 2 Li 3.03
Li: 0.0000 0.3236 0.8236  3 Be 2.79-3.02, 10 Pd 2.89-3.04, 2 Li 3.03
Li: 0.0000 0.8236 0.6764  3 Be 2.79-3.02, 10 Pd 2.89-3.04, 2 Li 3.03
Be: 0.0000 0.6241 0.8759  6 Pd 2.23-2.30
Be: 0.0000 0.1241 0.6241  6 Pd 2.23-2.30
Be: 0.0000 0.3759 0.1241  6 Pd 2.23-2.30
Be: 0.0000 0.8759 0.3759  6 Pd 2.23-2.30
Au: 0.0000 0.5000 0.5000  8 Pd 2.74, 2 Au 3.03
Au: 0.0000 0.0000 0.0000  8 Pd 2.74, 2 Au 3.03

=====

[5]
LiPm2BeAu6: optimized geometry, GGA-PBE.

Computed properties:
**Final energy**: -3.9649 eV/atom
**Spin magnetization**: 0.00 μB per cell
**Symmetry**: C2/m, No. 12
**ΔH_f (0 K)**: -0.484 eV/atom
**Mass density**: 12.01 Mg/m³

Cell lengths 6.1770, 7.2866, 6.3211 Å; angles 60.72, 60.77, 90.01 degrees
With the nearest neighbours (Å) after each atom.
Element x y z (fractional)
Au: 0.7396 0.2235 0.9926  1 Be 2.29, 1 Li 2.51
Au: 0.2459 0.1355 0.5081  1 Be 2.31, 1 Li 2.56
Au: 0.7318 0.7767 0.0077  1 Be 2.29, 1 Li 2.51
Au: 0.2604 0.7765 0.0074  1 Be 2.29, 1 Li 2.51
Au: 0.2682 0.2233 0.9924  1 Be 2.29, 1 Li 2.51
Au: 0.7541 0.8645 0.4919  1 Be 2.31, 1 Li 2.56
Be: 0.0000 0.0000 0.0000  6 Au 2.29-2.31
Pm: 0.2161 0.6741 0.5675  9 Au 3.10-3.34
Pm: 0.7839 0.3259 0.4325  9 Au 3.10-3.34
Li: 0.5000 0.5000 0.0000  6 Au 2.51-2.56

=====

[6]
Li2PmBeAu4: optimized geometry, GGA-PBE.

Computed properties:
**Final energy**: -3.6853 eV/atom
**Spin magnetization**: 0.00 μB per cell
**Symmetry**: R-3m, No. 166
**ΔH_f (0 K)**: -0.509 eV/atom
**Mass density**: 11.24 Mg/m³

Cell lengths 4.4216, 4.4216, 8.7189 Å; angles 75.31, 75.31, 60.00 degrees
With the nearest neighbours (Å) after each atom.
Element x y z (fractional)
Au: 0.5964 0.5964 0.2107  1 Be 2.41, 3 Li 2.62
Au: 0.4036 0.4036 0.7893  1 Be 2.41, 3 Li 2.62
Au: 0.1347 0.1347 0.5958  4 Li 2.62-2.75, 3 Be 2.67
Au: 0.8653 0.8653 0.4042  4 Li 2.62-2.75, 3 Be 2.67
Pm: 0.0000 0.0000 0.0000  8 Au 3.10-3.37, 6 Li 3.47
Li: 0.7606 0.7606 0.7183  7 Au 2.62-2.75
Li: 0.2394 0.2394 0.2817  7 Au 2.62-2.75
Be: 0.5000 0.5000 0.5000  8 Au 2.41-2.67

=====

[7]
Li2PrBeAu4: optimized geometry, GGA-PBE.

Computed properties:
**Final energy**: -3.6818 eV/atom
**Spin magnetization**: 0.00 μB per cell
**Symmetry**: R-3m, No. 166
**ΔH_f (0 K)**: -0.501 eV/atom
**Mass density**: 11.00 Mg/m³

Cell lengths 4.4097, 4.4097, 8.9031 Å; angles 75.66, 75.66, 60.00 degrees
With the nearest neighbours (Å) after each atom.
Element x y z (fractional)
Au: 0.5949 0.5949 0.2153  1 Be 2.43, 3 Li 2.62
Au: 0.8647 0.8647 0.4060  4 Li 2.61-2.74, 3 Be 2.67
Au: 0.1353 0.1353 0.5940  4 Li 2.61-2.74, 3 Be 2.67
Au: 0.4051 0.4051 0.7847  1 Be 2.43, 3 Li 2.62
Li: 0.2373 0.2373 0.2882  7 Au 2.61-2.74
Li: 0.7627 0.7627 0.7118  7 Au 2.61-2.74
Pr: 0.0000 0.0000 0.0000  8 Au 3.14-3.46
Be: 0.5000 0.5000 0.5000  8 Au 2.43-2.67

=====

[8]
Li2PuBeAu4: optimized geometry, GGA-PBE.

Computed properties:
**Final energy**: -4.7378 eV/atom
**Spin magnetization**: 5.31 μB per cell
**Symmetry**: R-3m, No. 166
**ΔH_f (0 K)**: -0.363 eV/atom
**Mass density**: 12.46 Mg/m³

Cell lengths 4.3971, 4.3971, 8.7696 Å; angles 75.48, 75.48, 60.00 degrees
With the nearest neighbours (Å) after each atom.
Element x y z (fractional)
Be: 0.5000 0.5000 0.5000  8 Au 2.44-2.66
Au: 0.5970 0.5970 0.2091  1 Be 2.44, 3 Li 2.61
Au: 0.4030 0.4030 0.7909  1 Be 2.44, 3 Li 2.61
Au: 0.8650 0.8650 0.4049  4 Li 2.62-2.74, 3 Be 2.66
Au: 0.1350 0.1350 0.5951  4 Li 2.62-2.74, 3 Be 2.66
Li: 0.2390 0.2390 0.2829  7 Au 2.61-2.74
Li: 0.7610 0.7610 0.7171  7 Au 2.61-2.74
Pu: 0.0000 0.0000 0.0000  8 Au 3.09-3.40

=====

[9]
LiPu2Be3Au12: optimized geometry, GGA-PBE.

Computed properties:
**Final energy**: -4.5991 eV/atom
**Spin magnetization**: 11.47 μB per cell
**Symmetry**: R-3m, No. 166
**ΔH_f (0 K)**: -0.094 eV/atom
**Mass density**: 13.15 Mg/m³

Cell lengths 7.7136, 7.7136, 7.7136 Å; angles 65.68, 65.68, 65.68 degrees
With the nearest neighbours (Å) after each atom.
Element x y z (fractional)
Be: 0.0000 0.0000 0.5000  6 Au 2.31
Be: 0.5000 0.0000 0.0000  6 Au 2.31
Be: 0.0000 0.5000 0.0000  6 Au 2.31
Au: 0.8682 0.3796 0.8682  1 Be 2.31, 1 Li 2.57
Au: 0.1318 0.6204 0.1318  1 Be 2.31, 1 Li 2.57
Au: 0.9028 0.3351 0.3351  2 Be 2.31
Au: 0.6649 0.0972 0.6649  2 Be 2.31
Au: 0.3351 0.3351 0.9028  2 Be 2.31
Au: 0.3796 0.8682 0.8682  1 Be 2.31, 1 Li 2.57
Au: 0.1318 0.1318 0.6204  1 Be 2.31, 1 Li 2.57
Au: 0.3351 0.9028 0.3351  2 Be 2.31
Au: 0.6204 0.1318 0.1318  1 Be 2.31, 1 Li 2.57
Au: 0.0972 0.6649 0.6649  2 Be 2.31
Au: 0.6649 0.6649 0.0972  2 Be 2.31
Au: 0.8682 0.8682 0.3796  1 Be 2.31, 1 Li 2.57
Li: 0.0000 0.0000 0.0000  6 Au 2.57
Pu: 0.4013 0.4013 0.4013  6 Au 3.05
Pu: 0.5987 0.5987 0.5987  6 Au 3.05

=====

[10]
RbLi2BeAu: optimized geometry, GGA-PBE.

Computed properties:
**Final energy**: -1.7830 eV/atom
**Spin magnetization**: 1.20 μB per cell
**Symmetry**: P4/mmm, No. 123
**ΔH_f (0 K)**: 0.577 eV/atom
**Mass density**: 3.33 Mg/m³

Cell lengths 4.9651, 6.1756, 4.9651 Å; angles 90.00, 90.00, 90.00 degrees
With the nearest neighbours (Å) after each atom.
Element x y z (fractional)
Li: 0.0000 0.0000 0.5000  2 Be 2.48
Li: 0.5000 0.0000 0.0000  2 Be 2.48
Au: 0.5000 0.5000 0.5000  4 Rb 3.51
Rb: 0.0000 0.5000 0.0000  2 Be 3.09
Be: 0.0000 0.0000 0.0000  4 Li 2.48

=====

[11]
Li2BeRuAu: optimized geometry, GGA-PBE.

Computed properties:
**Final energy**: -3.7042 eV/atom
**Spin magnetization**: 0.43 μB per cell
**Symmetry**: P4/mmm, No. 123
**ΔH_f (0 K)**: 0.317 eV/atom
**Mass density**: 7.37 Mg/m³

Cell lengths 4.1970, 4.1066, 4.1970 Å; angles 90.00, 90.00, 90.00 degrees
With the nearest neighbours (Å) after each atom.
Element x y z (fractional)
Be: 0.0000 0.0000 0.0000  2 Ru 2.05, 4 Li 2.10
Au: 0.5000 0.5000 0.5000  8 Li 2.94, 4 Ru 2.97
Li: 0.5000 0.0000 0.0000  2 Be 2.10
Li: 0.0000 0.0000 0.5000  2 Be 2.10
Ru: 0.0000 0.5000 0.0000  2 Be 2.05

=====

[12]
LiBe2AuS: optimized geometry, GGA-PBE.

Computed properties:
**Final energy**: -3.0088 eV/atom
**Spin magnetization**: 0.00 μB per cell
**Symmetry**: P4/mmm, No. 123
**Mass density**: 4.25 Mg/m³
**Raw formation energy**: 0.3454 eV/atom

Cell lengths 4.3160, 5.3222, 4.3160 Å; angles 90.00, 90.00, 90.00 degrees
With the nearest neighbours (Å) after each atom.
Element x y z (fractional)
Be: 0.5000 0.0000 0.0000  2 Au 2.16
Be: 0.0000 0.0000 0.5000  2 Au 2.16
Li: 0.5000 0.5000 0.5000  4 S 3.05
S: 0.0000 0.5000 0.0000  2 Au 2.66
Au: 0.0000 0.0000 0.0000  4 Be 2.16

=====

- What is the formula in the second record?
  Li2NdBeAu4

=====

- Among the records above, which one has the highest final energy?
  RbLi2BeAu

=====

- Look up the mass density of the eleventh one.
  7.37 Mg/m³

=====

- The lowest final energy belongs to which entry?
  Li2PuBeAu4